[1]
# ZrScTc2

Crystalline ZrScTc2 at its relaxed geometry (PBE, Alexandria via LeMat-Bulk).

Structure (POSCAR):
```
ZrScTc2
1.0
-1.0691 -2.8494 0.4461
0.6879 0.4102 4.2686
-4.9653 1.9588 0.6119
Tc Zr Sc
2 1 1
Cartesian
-0.0105 0.0041 0.0013
-1.4025 -0.7415 2.5067
-2.3798 0.9388 0.2933
-4.0364 0.2975 2.8313
```

## Properties
SG = Pmm2, No. 25
energy = -8.839 eV/atom


[2]
# ZrSc3Tc

Crystalline ZrSc3Tc at its relaxed geometry (PBE, Alexandria via LeMat-Bulk).

Structure (POSCAR):
```
ZrSc3Tc
1.0
6.7424 -0.0197 -0.0706
-1.8636 6.4798 0.0706
-2.7610 -2.9872 5.4058
Tc Sc Zr
2 6 2
Cartesian
0.3747 -0.2830 3.3863
1.7431 3.7559 2.0195
2.1272 1.5051 3.8499
-1.4322 1.0816 4.5741
3.5499 2.3913 0.8317
-0.0094 1.9678 1.5559
-2.7293 4.0219 3.9205
4.8471 -0.5490 1.4853
-0.4483 5.4109 1.3127
2.5660 -1.9379 4.0931
```

## Properties
SG = C2/m, No. 12
energy above the most stable polymorph in this dataset = 157 meV/atom


[3]
# ZrScTc2

Crystalline ZrScTc2 at its relaxed geometry (PBE, Alexandria via LeMat-Bulk).

Structure (POSCAR):
```
ZrScTc2
1.0
5.5230 0.0031 0.0091
-2.5851 4.5680 -0.0085
0.3528 0.9388 2.7706
Tc Zr Sc
2 1 1
Cartesian
0.0000 0.0000 0.0000
2.9379 0.4710 1.3899
-1.1162 2.7534 1.3811
1.4689 2.2855 0.0003
```

## Properties
SG = C2/m, No. 12
energy = -8.985 eV/atom


[4]
# Zr2ScTc

Crystalline Zr2ScTc at its relaxed geometry (PBE, Alexandria via LeMat-Bulk).

Structure (POSCAR):
```
Zr2ScTc
1.0
4.4811 0.0000 0.0000
0.0000 3.1924 0.0094
0.0000 1.4179 5.7410
Zr Tc Sc
2 1 1
Cartesian
0.0000 2.5841 3.0105
0.0000 4.3312 5.6152
2.2405 3.4577 4.3128
2.2405 1.1526 1.4376
```

## Properties
SG = P2/m, No. 10
energy above the most stable polymorph in this dataset = 134 meV/atom


[5]
# Zr2ScTc

Crystalline Zr2ScTc at its relaxed geometry (PBE, Alexandria via LeMat-Bulk).

Structure (POSCAR):
```
Zr2ScTc
1.0
3.4736 0.0000 0.0000
-1.7368 5.6843 0.0000
0.0000 0.0000 8.6085
Zr Sc Tc
4 2 2
Cartesian
0.0000 4.1351 4.7762
1.7368 1.5492 0.4720
0.0000 4.1351 8.1366
1.7368 1.5492 3.8323
1.7368 5.0591 2.1521
0.0000 0.6253 6.4564
1.7368 2.9048 6.4564
0.0000 2.7795 2.1521
```

## Properties
SG = Cmcm, No. 63
energy above the most stable polymorph in this dataset = 65 meV/atom


[6]
# Zr2ScTc

Crystalline Zr2ScTc at its relaxed geometry (PBE, Alexandria via LeMat-Bulk).

Structure (POSCAR):
```
Zr2ScTc
1.0
4.8278 0.0000 0.0000
2.4139 4.1810 0.0000
2.4139 1.3937 3.9419
Zr Sc Tc
2 1 1
Cartesian
2.4139 1.3937 0.9855
0.0000 0.0000 0.0000
4.8278 2.7873 1.9709
7.2417 4.1810 2.9564
```

## Properties
SG = F-43m, No. 216
energy above the most stable polymorph in this dataset = 237 meV/atom


[7]
# Zr2Sc8Tc

Crystalline Zr2Sc8Tc at its relaxed geometry (PBE, Alexandria via LeMat-Bulk).

Structure (POSCAR):
```
Zr2Sc8Tc
1.0
4.6875 0.0000 -1.3456
0.0368 6.1939 0.1282
-0.0497 0.6342 8.6640
Sc Zr Tc
8 2 1
Cartesian
4.5347 5.3625 6.9593
1.6476 5.9996 5.7393
3.8856 1.4236 4.6980
2.7905 3.8430 0.8835
1.8840 2.9851 6.5630
0.1399 1.4656 0.4872
0.7890 5.4045 2.7485
3.0270 0.8285 1.7073
1.0223 2.4896 3.5612
3.6523 4.3385 3.8853
2.3438 0.0000 -0.6728
```

## Properties
SG = C2/m, No. 12
energy = -7.146 eV/atom


[8]
# ZrScTc2

Crystalline ZrScTc2 at its relaxed geometry (PBE, Alexandria via LeMat-Bulk).

Structure (POSCAR):
```
ZrScTc2
1.0
-4.5636 8.0979 -3.1012
-3.5181 7.1566 -5.6944
-6.0771 6.1078 -4.6673
Zr Tc Sc
1 2 1
Cartesian
-7.1491 10.7864 -6.7978
-3.6657 5.5306 -3.4855
-14.0783 21.2408 -13.3864
-10.5037 15.8477 -9.9875
```

## Properties
SG = R3m, No. 160
energy = -8.727 eV/atom


[9]
# ZrScTc2

Crystalline ZrScTc2 at its relaxed geometry (PBE, Alexandria via LeMat-Bulk).

Structure (POSCAR):
```
ZrScTc2
1.0
-2.5408 1.5469 -3.5393
1.2192 -1.0212 -4.3412
-2.5470 -2.9540 -2.4823
Tc Sc Zr
2 1 1
Cartesian
0.0000 0.0000 0.0000
-1.9343 -1.2141 -5.1814
-0.9671 -0.6071 -2.5907
-2.9014 -1.8212 -7.7721
```

## Properties
SG = Fm-3m, No. 225
energy = -9.118 eV/atom


[10]
# ZrScTc2

Crystalline ZrScTc2 at its relaxed geometry (PBE, Alexandria via LeMat-Bulk).

Structure (POSCAR):
```
ZrScTc2
1.0
3.1860 0.0000 0.0000
-1.5930 7.5999 0.0000
0.0000 0.0000 6.3755
Tc Zr Sc
4 2 2
Cartesian
0.0000 5.9347 5.9316
1.5930 1.6653 2.7438
0.0000 5.9347 3.6316
1.5930 1.6653 0.4439
0.0000 0.5157 4.7816
1.5930 7.0842 1.5939
0.0000 3.8509 1.5939
1.5930 3.7490 4.7816
```

## Properties
SG = Cmcm, No. 63
energy = -8.911 eV/atom


[11]
# ZrScTc2

Crystalline ZrScTc2 at its relaxed geometry (PBE, Alexandria via LeMat-Bulk).

Structure (POSCAR):
```
ZrScTc2
1.0
4.6053 0.0000 0.0000
2.3027 3.9883 0.0000
2.3027 1.3294 3.7602
Tc Sc Zr
2 1 1
Cartesian
6.9080 3.9883 2.8202
0.0000 0.0000 0.0000
4.6053 2.6589 1.8801
2.3027 1.3294 0.9401
```

## Properties
SG = F-43m, No. 216
energy = -8.955 eV/atom


[12]
# Zr2ScTc

Crystalline Zr2ScTc at its relaxed geometry (PBE, Alexandria via LeMat-Bulk).

Structure (POSCAR):
```
Zr2ScTc
1.0
-6.5274 -3.7188 -1.7811
3.7327 -3.9122 -5.5110
-0.7287 -5.9224 -1.6975
Sc Tc Zr
2 2 4
Cartesian
0.8033 -6.8251 -5.4273
-1.3974 -3.8155 -3.6461
-4.3267 -6.7284 -3.5623
0.0000 0.0000 0.0000
1.6460 -4.2133 -4.0065
-2.8139 -11.3055 -7.9165
-4.1064 -4.4712 -2.3114
-1.7725 -7.1169 -3.7449
```

## Properties
SG = I-42d, No. 122
energy above the most stable polymorph in this dataset = 434 meV/atom